No. 1
Density functional theory data (GGA-PBE) for a relaxed structure of Pr6NdY3Ho2.

Properties
E_tot   -5.156 eV/atom
Space-group type   No. 12

The structure in POSCAR format:
```
Pr6NdY3Ho2
1.0
6.333 -0.001 0.015
-3.166 5.485 0.015
-1.080 -1.871 11.766
Pr Y Nd Ho
6 3 1 2
Direct
0.916 0.582 0.750
0.750 0.750 0.250
0.418 0.084 0.250
0.582 0.916 0.750
0.250 0.250 0.750
0.084 0.418 0.250
0.500 0.500 0.500
0.833 0.167 0.500
0.167 0.833 0.500
0.000 0.000 0.000
0.333 0.667 0.000
0.667 0.333 0.000
```

***

No. 2
Density functional theory data (GGA-PBE) for a relaxed structure of PrNd5YHo2.

Properties
E_tot   -4.767 eV/atom
Space-group type   No. 36

The structure in POSCAR format:
```
PrNd5YHo2
1.0
5.690 0.000 0.000
-2.845 10.269 0.000
0.000 0.000 10.779
Nd Y Pr Ho
10 2 2 4
Direct
0.479 0.959 0.743
0.608 0.216 0.526
0.296 0.593 0.704
0.720 0.439 0.808
0.984 0.968 0.522
0.704 0.407 0.204
0.392 0.784 0.026
0.280 0.561 0.308
0.521 0.041 0.243
0.016 0.032 0.022
0.590 0.181 0.957
0.410 0.819 0.457
0.203 0.405 0.009
0.797 0.595 0.509
0.111 0.221 0.738
0.889 0.779 0.238
0.116 0.233 0.317
0.884 0.767 0.817
```

***

No. 3
Density functional theory data (GGA-PBE) for a relaxed structure of Pr2Nd2YHo.

Properties
E_tot   -4.969 eV/atom
Space-group type   No. 26

The structure in POSCAR format:
```
Pr2Nd2YHo
1.0
-2.785 4.486 2.290
-6.252 -3.085 -1.559
0.018 -4.530 8.893
Pr Y Nd Ho
4 2 4 2
Direct
0.500 0.008 0.000
0.000 0.258 0.176
0.000 0.758 0.824
0.500 0.508 0.000
0.000 0.007 0.500
0.000 0.507 0.500
0.500 0.758 0.668
0.000 0.758 0.163
0.000 0.258 0.837
0.500 0.258 0.332
0.500 0.257 0.659
0.500 0.757 0.341
```

***

No. 4
Density functional theory data (GGA-PBE) for a relaxed structure of Pr2NdYHo5.

Properties
E_tot   -4.592 eV/atom
Space-group type   No. 140

The structure in POSCAR format:
```
Pr2NdYHo5
1.0
8.734 0.000 0.000
0.000 8.734 0.000
-4.367 -4.367 7.809
Nd Ho Pr Y
2 10 4 2
Direct
0.250 0.250 0.500
0.750 0.750 0.500
0.000 0.000 0.000
0.649 0.149 0.722
0.851 0.927 0.278
0.500 0.500 0.000
0.573 0.649 0.722
0.351 0.851 0.278
0.149 0.073 0.722
0.927 0.427 0.278
0.427 0.351 0.278
0.073 0.573 0.722
0.382 0.882 0.000
0.882 0.618 0.000
0.118 0.382 0.000
0.618 0.118 0.000
0.250 0.750 0.500
0.750 0.250 0.500
```

***

No. 5
Density functional theory data (GGA-PBE) for a relaxed structure of PrNd2Y5Ho.

Properties
E_tot   -5.448 eV/atom
Space-group type   No. 140

The structure in POSCAR format:
```
PrNd2Y5Ho
1.0
-0.132 -8.051 -3.181
8.138 0.970 -2.791
-1.297 0.761 9.911
Ho Y Nd Pr
2 10 4 2
Direct
0.750 0.750 0.500
0.250 0.250 0.500
0.346 0.846 0.277
0.569 0.654 0.723
0.069 0.569 0.723
0.154 0.069 0.723
0.500 0.500 0.000
0.931 0.431 0.277
0.654 0.154 0.723
0.000 0.000 0.000
0.846 0.931 0.277
0.431 0.346 0.277
0.619 0.119 0.000
0.881 0.619 0.000
0.119 0.381 0.000
0.381 0.881 0.000
0.750 0.250 0.500
0.250 0.750 0.500
```

***

No. 6
Density functional theory data (GGA-PBE) for a relaxed structure of Pr6Nd3Y2Ho.

Properties
E_tot   -5.029 eV/atom
Space-group type   No. 12

The structure in POSCAR format:
```
Pr6Nd3Y2Ho
1.0
6.373 -0.002 0.014
-3.187 5.519 0.014
-1.086 -1.881 11.880
Y Pr Nd Ho
2 6 3 1
Direct
0.667 0.333 0.000
0.333 0.667 0.000
0.750 0.750 0.246
0.585 0.917 0.754
0.083 0.415 0.246
0.415 0.083 0.246
0.250 0.250 0.754
0.917 0.585 0.754
0.167 0.833 0.500
0.500 0.500 0.500
0.833 0.167 0.500
0.000 0.000 0.000
```

***

No. 7
Density functional theory data (GGA-PBE) for a relaxed structure of PrNd2Y6Ho3.

Properties
E_tot   -5.550 eV/atom
Space-group type   No. 12

The structure in POSCAR format:
```
PrNd2Y6Ho3
1.0
6.224 0.001 0.008
-3.110 5.391 0.008
-1.050 -1.817 11.675
Nd Y Ho Pr
2 6 3 1
Direct
0.333 0.667 0.000
0.667 0.333 0.000
0.419 0.085 0.254
0.085 0.419 0.254
0.581 0.915 0.746
0.915 0.581 0.746
0.752 0.752 0.254
0.248 0.248 0.746
0.500 0.500 0.500
0.167 0.833 0.500
0.833 0.167 0.500
0.000 0.000 0.000
```

***

No. 8
Density functional theory data (GGA-PBE) for a relaxed structure of PrNd5Y2Ho.

Properties
E_tot   -4.986 eV/atom
Space-group type   No. 36

The structure in POSCAR format:
```
PrNd5Y2Ho
1.0
5.707 0.000 0.000
-2.854 10.245 0.000
0.000 0.000 10.803
Y Nd Ho Pr
4 10 2 2
Direct
0.110 0.219 0.737
0.117 0.235 0.320
0.890 0.781 0.237
0.883 0.765 0.820
0.479 0.958 0.743
0.521 0.042 0.243
0.282 0.565 0.307
0.982 0.964 0.523
0.718 0.435 0.807
0.704 0.408 0.202
0.395 0.789 0.026
0.018 0.036 0.023
0.296 0.592 0.702
0.605 0.211 0.526
0.590 0.179 0.959
0.410 0.821 0.459
0.796 0.592 0.508
0.204 0.408 0.008
```

***

No. 9
Density functional theory data (GGA-PBE) for a relaxed structure of Pr6Nd3YHo2.

Properties
E_tot   -4.870 eV/atom
Space-group type   No. 12

The structure in POSCAR format:
```
Pr6Nd3YHo2
1.0
6.367 -0.002 0.012
-3.184 5.514 0.012
-1.082 -1.874 11.869
Pr Ho Y Nd
6 2 1 3
Direct
0.583 0.917 0.754
0.917 0.583 0.754
0.251 0.251 0.754
0.417 0.083 0.246
0.749 0.749 0.246
0.083 0.417 0.246
0.667 0.333 0.000
0.333 0.667 0.000
0.000 0.000 0.000
0.833 0.167 0.500
0.167 0.833 0.500
0.500 0.500 0.500
```

***

No. 10
Density functional theory data (GGA-PBE) for a relaxed structure of Pr2Nd4Y2Ho.

Properties
E_tot   -5.120 eV/atom
Space-group type   No. 12

The structure in POSCAR format:
```
Pr2Nd4Y2Ho
1.0
3.687 0.000 0.000
-1.843 9.519 -0.535
0.000 -3.734 9.043
Y Pr Ho Nd
2 2 1 4
Direct
0.148 0.295 0.666
0.852 0.705 0.334
0.665 0.330 0.999
0.335 0.670 0.001
0.000 0.000 0.000
0.482 0.964 0.667
0.518 0.036 0.333
0.185 0.371 0.333
0.815 0.629 0.667
```

***

No. 11
Density functional theory data (GGA-PBE) for a relaxed structure of Pr2Nd4YHo2.

Properties
E_tot   -4.896 eV/atom
Space-group type   No. 12

The structure in POSCAR format:
```
Pr2Nd4YHo2
1.0
5.165 0.000 0.000
-2.583 7.749 0.031
0.000 -2.621 7.686
Y Ho Nd Pr
1 2 4 2
Direct
0.000 0.000 0.000
0.333 0.666 0.000
0.667 0.334 0.000
0.222 0.444 0.330
0.445 0.889 0.669
0.778 0.556 0.670
0.555 0.111 0.331
0.888 0.776 0.331
0.112 0.224 0.669
```

***

No. 12
Density functional theory data (GGA-PBE) for a relaxed structure of Pr3Nd6YHo2.

Properties
E_tot   -4.865 eV/atom
Space-group type   No. 12

The structure in POSCAR format:
```
Pr3Nd6YHo2
1.0
6.347 -0.002 0.009
-3.173 5.496 0.009
-1.075 -1.862 11.890
Y Nd Pr Ho
1 6 3 2
Direct
0.000 0.000 0.000
0.748 0.748 0.245
0.918 0.583 0.755
0.417 0.082 0.245
0.252 0.252 0.755
0.583 0.918 0.755
0.082 0.417 0.245
0.833 0.167 0.500
0.167 0.833 0.500
0.500 0.500 0.500
0.667 0.333 0.000
0.333 0.667 0.000
```